<w>
DFT (PBE) results for an optimized crystal structure of PtWSe.

Cell lengths 2.971, 2.971, 12.289 Å; angles 90.00, 90.00, 90.00 degrees
Positions (direct):
Pt 0.000 0.000 0.000
Pt 0.500 0.500 0.500
W 0.000 0.000 0.357
W 0.500 0.500 0.857
Se 0.000 0.000 0.729
Se 0.500 0.500 0.229

---

<x>
DFT (PBE) results for an optimized crystal structure of PtWSe.

Cell lengths 3.031, 3.031, 6.493 Å; angles 90.00, 90.00, 120.00 degrees
Positions (direct):
Pt 0.000 0.000 0.000
W 0.333 0.667 0.677
Se 0.667 0.333 0.392

---

<y>
DFT (PBE) results for an optimized crystal structure of PtWSe.

Cell lengths 5.958, 5.958, 5.958 Å; angles 90.00, 90.00, 90.00 degrees
Positions (direct):
Pt 0.000 0.000 0.000
Pt 0.000 0.500 0.500
Pt 0.500 0.000 0.500
Pt 0.500 0.500 0.000
W 0.000 0.000 0.500
W 0.000 0.500 0.000
W 0.500 0.000 0.000
W 0.500 0.500 0.500
Se 0.250 0.250 0.250
Se 0.250 0.750 0.750
Se 0.750 0.250 0.750
Se 0.750 0.750 0.250

---

Quick ranking, most stable first: <w>, <x>, <y>.

---

<w>
DFT (PBE) results for an optimized crystal structure of PtWSe4.

Cell lengths 5.468, 5.468, 5.468 Å; angles 60.00, 60.00, 60.00 degrees
Positions (direct):
Pt 0.000 0.000 0.000
W 0.250 0.250 0.250
Se 0.123 0.626 0.626
Se 0.626 0.123 0.626
Se 0.626 0.626 0.123
Se 0.626 0.626 0.626

---

<x>
DFT (PBE) results for an optimized crystal structure of PtWSe4.

Cell lengths 13.192, 3.567, 6.550 Å; angles 90.00, 105.76, 90.00 degrees
Positions (direct):
Pt 0.000 0.000 0.000
Pt 0.500 0.500 0.000
W 0.000 0.500 0.500
W 0.500 0.000 0.500
Se 0.110 0.500 0.884
Se 0.114 0.000 0.386
Se 0.386 0.500 0.614
Se 0.390 0.000 0.116
Se 0.610 0.000 0.884
Se 0.614 0.500 0.386
Se 0.886 0.000 0.614
Se 0.890 0.500 0.116

---

Quick ranking, most stable first: <x>, <w>.

---

<w>
DFT (PBE) results for an optimized crystal structure of PtW3Se.

Cell lengths 4.550, 4.550, 4.550 Å; angles 90.00, 90.00, 90.00 degrees
Positions (direct):
Pt 0.000 0.000 0.000
W 0.000 0.500 0.500
W 0.500 0.000 0.500
W 0.500 0.500 0.000
Se 0.500 0.500 0.500

---

<x>
DFT (PBE) results for an optimized crystal structure of PtW3Se.

Cell lengths 4.817, 4.817, 4.817 Å; angles 90.00, 90.00, 90.00 degrees
Positions (direct):
Pt 0.000 0.000 0.000
W 0.000 0.000 0.500
W 0.000 0.500 0.000
W 0.500 0.000 0.000
Se 0.500 0.500 0.500

---

Quick ranking, most stable first: <w>, <x>.